The following is a DFT calculation (GGA-PBEsol) of crystalline Y3SnC at its relaxed geometry.

Summary:
SG: Pm-3m, No. 221
magnetization: 0.00 Bohr magnetons per cell
DFT total energy: -38.0 eV for the cell shown

Unit cell a=4.832 b=4.832 c=4.832 alpha=90.00 beta=90.00 gamma=90.00
Sites, in units of the cell vectors:
1 Sn 0.000 0.000 0.000
2 Y 0.500 0.000 0.500
3 Y 0.000 0.500 0.500
4 Y 0.500 0.500 0.000
5 C 0.500 0.500 0.500

=====

The following is a DFT calculation (GGA-PBEsol) of crystalline ZrMnFe at its relaxed geometry.

Summary:
SG: I4mm, No. 107
magnetization: 0.00 Bohr magnetons per cell
DFT total energy: -27.6 eV for the cell shown

Unit cell a=2.790 b=2.790 c=5.625 alpha=104.36 beta=104.36 gamma=90.00
Sites, in units of the cell vectors:
1 Mn 0.636 0.636 0.273
2 Zr 0.333 0.333 0.666
3 Fe 0.030 0.030 0.061